Entry 1:
# CaPrSmTm

A relaxed structure of CaPrSmTm (GGA-PBE, Alexandria via LeMat-Bulk).

Cell: 5.818 5.818 5.818 Å, 60.00 60.00 60.00°
Atoms (fractional coordinates):
1 Tm 0.000 0.000 0.000
2 Pr 0.750 0.750 0.750
3 Ca 0.500 0.500 0.500
4 Sm 0.250 0.250 0.250

- energy of formation (meV/atom) = 117
- symmetry = No. 216



Entry 2:
# NdTmPbO2

A relaxed structure of NdTmPbO2 (GGA-PBE, Alexandria via LeMat-Bulk).

Cell: 3.885 3.885 7.677 Å, 104.66 104.66 90.00°
Atoms (fractional coordinates):
1 O 0.245 0.745 0.489
2 O 0.745 0.245 0.489
3 Nd 0.833 0.833 0.667
4 Pb 0.504 0.504 0.009
5 Tm 0.173 0.173 0.346

- formation energy (no corrections) (eV/f.u.) = -12.5
- symmetry = No. 107



Entry 3:
# NaMg2InBr6

A relaxed structure of NaMg2InBr6 (GGA-PBE, Alexandria via LeMat-Bulk).

Cell: 7.379 9.931 9.931 Å, 88.39 83.07 83.07°
Atoms (fractional coordinates):
1 Br 0.610 0.155 0.607
2 Br 0.096 0.289 0.427
3 Br 0.832 0.024 0.228
4 Br 0.404 0.573 0.711
5 Br 0.890 0.393 0.845
6 Br 0.110 0.607 0.155
7 Br 0.904 0.711 0.573
8 Br 0.596 0.427 0.289
9 Br 0.332 0.228 0.024
10 Br 0.390 0.845 0.393
11 Br 0.668 0.772 0.976
12 Br 0.168 0.976 0.772
13 Na 0.750 0.723 0.277
14 Na 0.250 0.277 0.723
15 Mg 0.220 0.781 0.612
16 Mg 0.720 0.612 0.781
17 Mg 0.780 0.219 0.388
18 Mg 0.280 0.388 0.219
19 In 0.750 0.099 0.901
20 In 0.250 0.901 0.099

- formation energy (no corrections) (eV/f.u.) = -12.8
- symmetry = No. 15



Entry 4:
# Ca2MgCu4

A relaxed structure of Ca2MgCu4 (GGA-PBE, Alexandria via LeMat-Bulk).

Cell: 7.406 7.406 7.406 Å, 118.78 118.78 92.12°
Atoms (fractional coordinates):
1 Mg 0.750 0.750 0.000
2 Mg 0.250 0.250 0.000
3 Ca 0.663 0.163 0.826
4 Ca 0.337 0.837 0.174
5 Ca 0.837 0.663 0.500
6 Ca 0.163 0.337 0.500
7 Cu 0.558 0.350 0.500
8 Cu 0.942 0.442 0.792
9 Cu 0.058 0.558 0.208
10 Cu 0.650 0.150 0.208
11 Cu 0.442 0.650 0.500
12 Cu 0.150 0.942 0.500
13 Cu 0.350 0.850 0.792
14 Cu 0.850 0.058 0.500

- energy of formation (meV/atom) = -75
- symmetry = No. 140
- offset from the most stable computed form (eV/f.u.) = 0.00



Entry 5:
# NbCrCo2

A relaxed structure of NbCrCo2 (GGA-PBE, Alexandria via LeMat-Bulk).

Cell: 3.634 3.720 3.720 Å, 90.00 90.00 90.00°
Atoms (fractional coordinates):
1 Co 0.000 0.000 0.500
2 Co 0.000 0.500 0.000
3 Cr 0.500 0.000 0.000
4 Nb 0.500 0.500 0.500

- energy of formation (meV/atom) = 17
- symmetry = No. 123
- offset from the most stable computed form (eV/f.u.) = 0.00



Entry 6:
# RbPtF

A relaxed structure of RbPtF (GGA-PBE, Alexandria via LeMat-Bulk).

Cell: 9.543 3.034 9.405 Å, 90.00 90.00 90.00°
Atoms (fractional coordinates):
1 F 0.750 0.250 0.241
2 F 0.250 0.750 0.759
3 F 0.750 0.750 0.741
4 F 0.250 0.250 0.259
5 Pt 0.750 0.250 0.015
6 Pt 0.750 0.750 0.515
7 Pt 0.250 0.250 0.485
8 Pt 0.250 0.750 0.985
9 Rb 0.000 0.250 0.750
10 Rb 0.500 0.250 0.750
11 Rb 0.500 0.750 0.250
12 Rb 0.000 0.750 0.250

- formation energy (no corrections) (eV/f.u.) = -1.7
- symmetry = No. 63
- offset from the most stable computed form (eV/f.u.) = 2.33